1.
First-principles (PBE) data for a relaxed NaNdCdS3 crystal, as listed in OQMD.

## Properties
space-group type: P2_1/m, No. 11
relative energy among the computed polymorphs: 0.013 eV per atom

```
NaNdCdS3
1.0
7.969 0.000 0.000
0.000 4.151 0.000
-2.924 0.000 10.269
Na Nd Cd S
2 2 2 6
direct
0.186 0.250 0.146
0.814 0.750 0.854
0.323 0.750 0.856
0.677 0.250 0.144
0.059 0.250 0.615
0.941 0.750 0.385
0.069 0.250 0.855
0.231 0.750 0.572
0.434 0.750 0.131
0.566 0.250 0.869
0.769 0.250 0.428
0.931 0.750 0.145
```

2.
First-principles (PBE) data for a relaxed Zr3Al crystal, as listed in OQMD.

## Properties
space-group type: P6_3/mmc, No. 194
calculated total energy: -7.6312 eV per atom

```
Zr3Al
1.0
6.203 0.000 0.000
-3.102 5.372 0.000
0.000 0.000 5.075
Zr Al
6 2
direct
0.171 0.342 0.250
0.171 0.829 0.250
0.342 0.171 0.750
0.658 0.829 0.250
0.829 0.171 0.750
0.829 0.658 0.750
0.333 0.667 0.750
0.667 0.333 0.250
```

3.
First-principles (PBE) data for a relaxed TmReO5 crystal, as listed in OQMD.

## Properties
space-group type: C2/c, No. 15
calculated total energy: -8.2057 eV per atom

```
TmReO5
1.0
4.414 -3.126 0.000
4.414 3.126 0.000
-3.178 0.000 6.749
Tm Re O
2 2 10
direct
0.050 0.950 0.750
0.950 0.050 0.250
0.500 0.500 0.000
0.500 0.500 0.500
0.192 0.780 0.040
0.220 0.808 0.460
0.250 0.292 0.381
0.292 0.250 0.881
0.420 0.580 0.750
0.580 0.420 0.250
0.708 0.750 0.119
0.750 0.708 0.619
0.780 0.192 0.540
0.808 0.220 0.960
```